A relaxed SmHgSb crystal, computed with PBE-GGA.

For the excess energy over the best structure of this formula in the dataset, the calculation gives 137 meV/atom. For the formation energy without anion corrections, the calculation gives -0.4736 eV per atom. The calculation puts the density of states at the Fermi level at 3.073 states/eV per cell. Its final energy is -3.52 eV per atom. The value obtained for the spin magnetization is 0.000 μB/atom.

a b c (Å): 8.501 7.749 13.005
angles (deg): 148.74 141.42 23.75
Positions (direct):
Sb 0.006 0.553 0.342
Hg 0.008 0.093 0.900
Sm 0.497 0.305 0.264
Sm 0.503 0.695 0.736
Sb 0.994 0.447 0.658
Hg 0.992 0.907 0.100